VASP calculation (GGA-PBE) on crystalline BeCrCd2 at its relaxed geometry.

DFT formation energy in eV/atom: 0.368
DOS(E_F) in states/eV/f.u.: 1.55

Cell: 3.042 3.287 6.822 Å, 90.00 102.76 90.00°
Space group Pm (No. 6)
Inequivalent atoms, fractional coordinates:
Be 0.000 0.000 0.000 x1
Cr 0.444 0.500 0.888 x1
Cd 0.149 0.500 0.291 x1
Cd 0.805 0.000 0.605 x1



VASP calculation (GGA-PBE) on crystalline Be2CrCd at its relaxed geometry.

DFT formation energy in eV/atom: 0.507
DOS(E_F) in states/eV/f.u.: 2.65

Cell: 3.685 3.685 7.806 Å, 90.00 90.00 90.00°
Space group I-4m2 (No. 119)
Inequivalent atoms, fractional coordinates:
Be 0.000 0.000 0.000 x2
Be 0.000 0.500 0.250 x2
Cr 0.000 0.000 0.500 x2
Cd 0.000 0.500 0.750 x2



What did the second record say?
VASP calculation (GGA-PBE) on crystalline Be2CrCd at its relaxed geometry.

DFT formation energy in eV/atom: 0.507
DOS(E_F) in states/eV/f.u.: 2.65

Cell: 3.685 3.685 7.806 Å, 90.00 90.00 90.00°
Space group I-4m2 (No. 119)
Inequivalent atoms, fractional coordinates:
Be 0.000 0.000 0.000 x2
Be 0.000 0.500 0.250 x2
Cr 0.000 0.000 0.500 x2
Cd 0.000 0.500 0.750 x2